[1]
Density functional theory data (PBE-GGA) for a relaxed structure of Ac3InSi2Pd9.

Unit cell a=6.4443 b=6.4443 c=9.5207 alpha=90.00 beta=90.00 gamma=120.00
Element x y z (fractional)
1 Pd 0.2952 0.1476 0.7243
2 Pd 0.5000 0.5000 0.0000
3 Pd 0.8524 0.1476 0.7243
4 Pd 0.7048 0.8524 0.2757
5 Pd 0.0000 0.5000 0.0000
6 Pd 0.5000 0.0000 0.0000
7 Pd 0.1476 0.8524 0.2757
8 Pd 0.8524 0.7048 0.7243
9 Pd 0.1476 0.2952 0.2757
10 Ac 0.3333 0.6667 0.6974
11 Ac 0.0000 0.0000 0.0000
12 Ac 0.6667 0.3333 0.3026
13 Si 0.3333 0.6667 0.1667
14 Si 0.6667 0.3333 0.8333
15 In 0.0000 0.0000 0.5000

## Properties
formation energy (no corrections)	-686.6	meV per atom

=====

[2]
Density functional theory data (PBE-GGA) for a relaxed structure of Ac2InSi4Pd3.

Unit cell a=4.3768 b=4.3768 c=10.6212 alpha=90.00 beta=90.00 gamma=90.00
Element x y z (fractional)
1 Si 0.0000 0.5000 0.3511
2 Si 0.0000 0.0000 0.0000
3 Si 0.5000 0.0000 0.6489
4 Si 0.5000 0.5000 0.0000
5 Ac 0.5000 0.0000 0.2377
6 Ac 0.0000 0.5000 0.7623
7 Pd 0.5000 0.0000 0.8848
8 Pd 0.0000 0.5000 0.1152
9 Pd 0.0000 0.0000 0.5000
10 In 0.5000 0.5000 0.5000

## Properties
formation energy (no corrections)	-732.4	meV per atom

=====

[3]
Density functional theory data (PBE-GGA) for a relaxed structure of Ac2InSnPd6.

Unit cell a=6.9033 b=7.0085 c=5.7219 alpha=65.91 beta=65.49 gamma=79.65
Element x y z (fractional)
1 Pd 0.7392 0.7574 0.0022
2 Pd 0.2608 0.2426 0.9978
3 Pd 0.2606 0.2423 0.4987
4 Pd 0.7394 0.7577 0.5013
5 Pd 0.0794 0.5820 0.1691
6 Pd 0.9206 0.4180 0.8309
7 Sn 0.5000 0.5000 0.0000
8 In 0.0000 0.0000 0.0000
9 Ac 0.7225 0.2211 0.5281
10 Ac 0.2775 0.7789 0.4719

## Properties
ΔE_f	-6.73	eV per formula unit

=====

[4]
Density functional theory data (PBE-GGA) for a relaxed structure of AcInSnPd.

Unit cell a=5.2849 b=5.2849 c=5.2849 alpha=60.00 beta=60.00 gamma=60.00
Element x y z (fractional)
1 Sn 0.2500 0.2500 0.2500
2 Ac 0.7500 0.7500 0.7500
3 In 0.0000 0.0000 0.0000
4 Pd 0.5000 0.5000 0.5000

## Properties
ΔE_f	-1.85	eV per formula unit

=====

Ρ: 8.8; 8.2; 9.6; 9.0 (g/cm³)